Computed, not measured: a geometry-optimized ZrSc2Cu6 structure at the PBE level of DFT.

For the formation energy from the elements, the calculation gives -0.130 eV per atom.

a b c (Å): 4.741 4.732 7.574
angles (deg): 71.80 81.24 60.81
Positions (direct):
Cu (0.161, 0.832, 0.166)
Cu (0.677, 0.655, 0.500)
Cu (0.323, 0.345, 0.500)
Cu (0.161, 0.498, 0.834)
Zr (0.000, 0.000, 0.500)
Cu (0.839, 0.168, 0.834)
Sc (0.500, 0.835, 0.830)
Sc (0.500, 0.165, 0.170)
Cu (0.839, 0.502, 0.166)